Record 1
An optimized crystal structure of Bi2Sb4O. Source: Alexandria via LeMat-Bulk, functional GGA-PBE.

```
Bi2Sb4O
1.0
-3.489 0.478 -3.254
0.422 -4.640 -1.134
-7.108 -3.981 3.504
Bi O Sb
2 1 4
Direct
0.358 0.358 0.284
0.642 0.642 0.716
0.000 0.000 0.000
0.000 0.500 0.000
0.500 0.000 0.000
0.167 0.167 0.666
0.833 0.833 0.334
```

Values from the calculation:
- Fermi-level density of states: 4.12 states/eV per cell
- Formation energy from raw total energies: 55.7 meV/atom

***

Record 2
An optimized crystal structure of ZnAgAs2. Source: Alexandria via LeMat-Bulk, functional GGA-PBE.

```
ZnAgAs2
1.0
7.643 -0.226 -0.134
6.967 3.151 -0.134
6.967 1.395 2.829
Zn Ag As
1 1 2
Direct
0.250 0.250 0.250
0.750 0.750 0.750
0.504 0.504 0.504
0.996 0.996 0.996
```

Values from the calculation:
- Fermi-level density of states: 1.41 states/eV per cell
- Energy relative to the elements: 0.190 eV/atom